## A
Density functional theory data (PBE) for CsZrPd after structural relaxation.

Geometry as extended XYZ:
```
3
Lattice="0.0000 3.5614 3.5614 3.5614 0.0000 3.5614 3.5614 3.5614 0.0000" Properties=species:S:1:pos:R:3 pbc="T T T"
Cs 0.0000 0.0000 0.0000
Zr 3.5614 3.5614 3.5614
Pd 1.7807 1.7807 1.7807
```

Calculated values
- space-group type = F-43m (216)

## B
Density functional theory data (PBE) for CsZrPd after structural relaxation.

Geometry as extended XYZ:
```
3
Lattice="0.0000 3.4061 3.4061 3.4061 0.0000 3.4061 3.4061 3.4061 0.0000" Properties=species:S:1:pos:R:3 pbc="T T T"
Cs 0.0000 0.0000 0.0000
Zr 1.7031 1.7031 1.7031
Pd 5.1092 5.1092 5.1092
```

Calculated values
- space-group type = F-43m (216)

A ends up most stable, edging out the next structure by 0.452 eV/atom.

## A
Density functional theory data (PBE) for CsPmPt after structural relaxation.

Geometry as extended XYZ:
```
3
Lattice="0.0000 3.6889 3.6889 3.6889 0.0000 3.6889 3.6889 3.6889 0.0000" Properties=species:S:1:pos:R:3 pbc="T T T"
Cs 0.0000 0.0000 0.0000
Pm 3.6889 3.6889 3.6889
Pt 1.8445 1.8445 1.8445
```

Calculated values
- space-group type = F-43m (216)

## B
Density functional theory data (PBE) for CsPmPt after structural relaxation.

Geometry as extended XYZ:
```
3
Lattice="0.0000 3.5534 3.5534 3.5534 0.0000 3.5534 3.5534 3.5534 0.0000" Properties=species:S:1:pos:R:3 pbc="T T T"
Cs 0.0000 0.0000 0.0000
Pm 1.7767 1.7767 1.7767
Pt 5.3301 5.3301 5.3301
```

Calculated values
- space-group type = F-43m (216)

A ends up most stable, edging out the next structure by 0.623 eV/atom.

## A
Density functional theory data (PBE) for CsPmTl after structural relaxation.

Geometry as extended XYZ:
```
3
Lattice="0.0000 3.9312 3.9312 3.9312 0.0000 3.9312 3.9312 3.9312 0.0000" Properties=species:S:1:pos:R:3 pbc="T T T"
Cs 0.0000 0.0000 0.0000
Pm 1.9656 1.9656 1.9656
Tl 5.8968 5.8968 5.8968
```

Calculated values
- space-group type = F-43m (216)

## B
Density functional theory data (PBE) for CsPmTl after structural relaxation.

Geometry as extended XYZ:
```
3
Lattice="0.0000 4.1069 4.1069 4.1069 0.0000 4.1069 4.1069 4.1069 0.0000" Properties=species:S:1:pos:R:3 pbc="T T T"
Cs 0.0000 0.0000 0.0000
Pm 4.1069 4.1069 4.1069
Tl 2.0534 2.0534 2.0534
```

Calculated values
- space-group type = F-43m (216)

B ends up most stable, edging out the next structure by 0.348 eV/atom.

## A
Density functional theory data (PBE) for CsPmTm after structural relaxation.

Geometry as extended XYZ:
```
3
Lattice="0.0000 4.3062 4.3062 4.3062 0.0000 4.3062 4.3062 4.3062 0.0000" Properties=species:S:1:pos:R:3 pbc="T T T"
Cs 0.0000 0.0000 0.0000
Pm 4.3062 4.3062 4.3062
Tm 2.1531 2.1531 2.1531
```

Calculated values
- space-group type = F-43m (216)

## B
Density functional theory data (PBE) for CsPmTm after structural relaxation.

Geometry as extended XYZ:
```
3
Lattice="0.0000 3.9262 3.9262 3.9262 0.0000 3.9262 3.9262 3.9262 0.0000" Properties=species:S:1:pos:R:3 pbc="T T T"
Cs 0.0000 0.0000 0.0000
Pm 1.9631 1.9631 1.9631
Tm 5.8892 5.8892 5.8892
```

Calculated values
- space-group type = F-43m (216)

A ends up most stable, edging out the next structure by 0.021 eV/atom.

## A
Density functional theory data (PBE) for CsPrSnS3 after structural relaxation.

Geometry as extended XYZ:
```
12
Lattice="2.0848 -8.5567 0.0000 2.0848 8.5567 0.0000 0.0000 0.0000 11.7788" Properties=species:S:1:pos:R:3 pbc="T T T"
Cs 2.0848 5.3014 8.8341
Cs 2.0848 -5.3014 2.9447
Pr 2.0848 0.0000 0.0000
Pr 2.0848 0.0000 5.8894
Sn 2.0848 6.7343 2.9447
Sn 2.0848 -6.7343 8.8341
S 2.0848 6.6454 0.1603
S 2.0848 6.6454 5.7291
S 2.0848 0.0878 8.8341
S 2.0848 -0.0878 2.9447
S 2.0848 -6.6454 6.0496
S 2.0848 -6.6454 11.6185
```

Calculated values
- space-group type = Cmcm (63)

## B
Density functional theory data (PBE) for CsPrSnS3 after structural relaxation.

Geometry as extended XYZ:
```
24
Lattice="16.1674 0.0000 0.0000 0.0000 4.1824 0.0000 0.0000 0.0000 12.2676" Properties=species:S:1:pos:R:3 pbc="T T T"
Cs 3.8075 1.0456 1.1207
Cs 4.2762 3.1368 7.2545
Cs 11.8912 1.0456 5.0131
Cs 12.3599 3.1368 11.1469
Pr 0.0000 1.0456 4.3404
Pr 0.0000 3.1368 7.9272
Pr 8.0837 1.0456 1.7934
Pr 8.0837 3.1368 10.4742
Sn 0.6567 1.0456 11.1248
Sn 7.4270 3.1368 4.9910
Sn 8.7404 1.0456 7.2766
Sn 15.5107 3.1368 1.1428
S 1.2910 3.1368 2.7739
S 1.5044 1.0456 6.7149
S 1.9684 3.1368 10.0991
S 6.1154 1.0456 3.9653
S 6.5793 3.1368 0.5811
S 6.7927 1.0456 8.9077
S 9.3747 3.1368 3.3599
S 9.5881 1.0456 11.6865
S 10.0521 3.1368 8.3022
S 14.1991 1.0456 2.1684
S 14.6631 3.1368 5.5527
S 14.8764 1.0456 9.4937
```

Calculated values
- space-group type = Pnma (62)

B ends up most stable, edging out the next structure by 0.107 eV/atom.

## A
Density functional theory data (PBE) for CsPrTmSe3 after structural relaxation.

Geometry as extended XYZ:
```
12
Lattice="2.4185 -8.2397 0.0000 2.4185 8.2397 0.0000 0.0000 0.0000 10.6131" Properties=species:S:1:pos:R:3 pbc="T T T"
Cs 2.4185 4.2257 7.9598
Cs 2.4185 -4.2257 2.6533
Pr 2.4185 0.0911 2.6533
Pr 2.4185 -0.0911 7.9598
Tm 0.0000 0.0000 0.0000
Tm 0.0000 0.0000 5.3066
Se 2.4185 6.9126 2.6533
Se 2.4185 1.7826 0.3008
Se 2.4185 1.7826 5.0057
Se 2.4185 -1.7826 5.6074
Se 2.4185 -1.7826 10.3123
Se 2.4185 -6.9126 7.9598
```

Calculated values
- space-group type = Cmcm (63)

## B
Density functional theory data (PBE) for CsPrTmSe3 after structural relaxation.

Geometry as extended XYZ:
```
12
Lattice="2.2933 -8.1425 0.0000 2.2933 8.1425 0.0000 0.0000 0.0000 11.6163" Properties=species:S:1:pos:R:3 pbc="T T T"
Cs 2.2933 4.2546 8.7122
Cs 2.2933 -4.2546 2.9041
Pr 2.2933 0.0000 0.0000
Pr 2.2933 0.0000 5.8081
Tm 2.2933 7.6078 2.9041
Tm 2.2933 -7.6078 8.7122
Se 2.2933 6.1787 0.6519
Se 2.2933 6.1787 5.1562
Se 2.2933 0.9209 2.9041
Se 2.2933 -0.9209 8.7122
Se 2.2933 -6.1787 6.4600
Se 2.2933 -6.1787 10.9644
```

Calculated values
- space-group type = Cmcm (63)

B ends up most stable, edging out the next structure by 0.101 eV/atom.

## A
Density functional theory data (PBE) for CsPrYSe3 after structural relaxation.

Geometry as extended XYZ:
```
12
Lattice="2.4589 -8.2142 0.0000 2.4589 8.2142 0.0000 0.0000 0.0000 10.5851" Properties=species:S:1:pos:R:3 pbc="T T T"
Cs 2.4589 4.2838 7.9389
Cs 2.4589 -4.2838 2.6463
Pr 2.4589 0.0177 7.9389
Pr 2.4589 -0.0177 2.6463
Y 0.0000 0.0000 0.0000
Y 0.0000 0.0000 5.2926
Se 2.4589 6.8308 2.6463
Se 2.4589 1.7749 0.3543
Se 2.4589 1.7749 4.9383
Se 2.4589 -1.7749 5.6469
Se 2.4589 -1.7749 10.2308
Se 2.4589 -6.8308 7.9389
```

Calculated values
- space-group type = Cmcm (63)

## B
Density functional theory data (PBE) for CsPrYSe3 after structural relaxation.

Geometry as extended XYZ:
```
12
Lattice="2.3242 -8.1570 0.0000 2.3242 8.1570 0.0000 0.0000 0.0000 11.6057" Properties=species:S:1:pos:R:3 pbc="T T T"
Cs 2.3242 4.2695 8.7043
Cs 2.3242 -4.2695 2.9014
Pr 2.3242 0.0000 0.0000
Pr 2.3242 0.0000 5.8028
Y 2.3242 7.6260 2.9014
Y 2.3242 -7.6260 8.7043
Se 2.3242 6.2019 0.5895
Se 2.3242 6.2019 5.2134
Se 2.3242 0.9537 2.9014
Se 2.3242 -0.9537 8.7043
Se 2.3242 -6.2019 6.3923
Se 2.3242 -6.2019 11.0162
```

Calculated values
- space-group type = Cmcm (63)

B ends up most stable, edging out the next structure by 0.068 eV/atom.

## A
Density functional theory data (PBE) for CsPrU after structural relaxation.

Geometry as extended XYZ:
```
3
Lattice="0.0000 4.2314 4.2314 4.2314 0.0000 4.2314 4.2314 4.2314 0.0000" Properties=species:S:1:pos:R:3 pbc="T T T"
Cs 0.0000 0.0000 0.0000
Pr 2.1157 2.1157 2.1157
U 4.2314 4.2314 4.2314
```

Calculated values
- space-group type = F-43m (216)

## B
Density functional theory data (PBE) for CsPrU after structural relaxation.

Geometry as extended XYZ:
```
3
Lattice="0.0000 3.8723 3.8723 3.8723 0.0000 3.8723 3.8723 3.8723 0.0000" Properties=species:S:1:pos:R:3 pbc="T T T"
Cs 0.0000 0.0000 0.0000
Pr 5.8085 5.8085 5.8085
U 1.9362 1.9362 1.9362
```

Calculated values
- space-group type = F-43m (216)

A ends up most stable, edging out the next structure by 0.036 eV/atom.

## A
Density functional theory data (PBE) for CsPrZr after structural relaxation.

Geometry as extended XYZ:
```
3
Lattice="0.0000 4.0641 4.0641 4.0641 0.0000 4.0641 4.0641 4.0641 0.0000" Properties=species:S:1:pos:R:3 pbc="T T T"
Cs 0.0000 0.0000 0.0000
Pr 2.0320 2.0320 2.0320
Zr 4.0641 4.0641 4.0641
```

Calculated values
- space-group type = F-43m (216)

## B
Density functional theory data (PBE) for CsPrZr after structural relaxation.

Geometry as extended XYZ:
```
3
Lattice="0.0000 3.7826 3.7826 3.7826 0.0000 3.7826 3.7826 3.7826 0.0000" Properties=species:S:1:pos:R:3 pbc="T T T"
Cs 0.0000 0.0000 0.0000
Pr 5.6739 5.6739 5.6739
Zr 1.8913 1.8913 1.8913
```

Calculated values
- space-group type = F-43m (216)

A ends up most stable, edging out the next structure by 0.081 eV/atom.

## A
Density functional theory data (PBE) for CsScPtSe3 after structural relaxation.

Geometry as extended XYZ:
```
12
Lattice="9.1636 0.0000 0.0000 0.0000 3.9274 0.0000 -4.4358 0.0000 9.6184" Properties=species:S:1:pos:R:3 pbc="T T T"
Cs 0.9151 0.9819 2.5435
Cs 3.8127 2.9456 7.0749
Sc -0.6407 2.9456 8.1994
Sc 5.3686 0.9819 1.4189
Pt -1.6480 0.9819 5.5362
Pt 6.3758 2.9456 4.0821
Se -2.4967 0.9819 7.9382
Se -0.1311 2.9456 5.5079
Se 3.4928 2.9456 1.2276
Se 1.2350 0.9819 8.3908
Se 4.8589 0.9819 4.1105
Se 7.2246 2.9456 1.6801
```

Calculated values
- space-group type = P2_1/m (11)

## B
Density functional theory data (PBE) for CsScPtSe3 after structural relaxation.

Geometry as extended XYZ:
```
12
Lattice="1.9512 -8.2704 0.0000 1.9512 8.2704 0.0000 0.0000 0.0000 10.0453" Properties=species:S:1:pos:R:3 pbc="T T T"
Cs 1.9512 4.1725 7.5340
Cs 1.9512 -4.1725 2.5113
Sc 0.0000 0.0000 0.0000
Sc 0.0000 0.0000 5.0227
Pt 1.9512 0.3969 2.5113
Pt 1.9512 -0.3969 7.5340
Se 1.9512 7.1091 2.5113
Se 1.9512 1.8785 0.5033
Se 1.9512 1.8785 4.5193
Se 1.9512 -1.8785 5.5260
Se 1.9512 -1.8785 9.5420
Se 1.9512 -7.1091 7.5340
```

Calculated values
- space-group type = Cmcm (63)

A ends up most stable, edging out the next structure by 0.018 eV/atom.

## A
Density functional theory data (PBE) for CsSnPt after structural relaxation.

Geometry as extended XYZ:
```
6
Lattice="4.7229 0.0000 0.0000 -0.0125 5.0998 0.0000 -0.0333 -0.6802 8.6756" Properties=species:S:1:pos:R:3 pbc="T T T"
Cs 1.1597 1.2109 1.4416
Cs 3.5173 3.2088 7.2340
Sn 1.1578 0.5200 5.3943
Sn 3.5193 3.8997 3.2813
Pt 1.1588 3.0824 4.3161
Pt 3.5182 1.3373 4.3595
```

Calculated values
- space-group type = P-1 (2)

## B
Density functional theory data (PBE) for CsSnPt after structural relaxation.

Geometry as extended XYZ:
```
3
Lattice="0.0000 3.6591 3.6591 3.6591 0.0000 3.6591 3.6591 3.6591 0.0000" Properties=species:S:1:pos:R:3 pbc="T T T"
Cs 0.0000 0.0000 0.0000
Sn 3.6591 3.6591 3.6591
Pt 1.8295 1.8295 1.8295
```

Calculated values
- space-group type = F-43m (216)

## C
Density functional theory data (PBE) for CsSnPt after structural relaxation.

Geometry as extended XYZ:
```
3
Lattice="0.0000 3.7838 3.7838 3.7838 0.0000 3.7838 3.7838 3.7838 0.0000" Properties=species:S:1:pos:R:3 pbc="T T T"
Cs 0.0000 0.0000 0.0000
Sn 1.8919 1.8919 1.8919
Pt 5.6757 5.6757 5.6757
```

Calculated values
- space-group type = F-43m (216)

A ends up most stable, edging out the next structure by 0.744 eV/atom.

## A
Density functional theory data (PBE) for CsTlPt after structural relaxation.

Geometry as extended XYZ:
```
3
Lattice="0.0000 3.7988 3.7988 3.7988 0.0000 3.7988 3.7988 3.7988 0.0000" Properties=species:S:1:pos:R:3 pbc="T T T"
Cs 0.0000 0.0000 0.0000
Tl 1.8994 1.8994 1.8994
Pt 3.7988 3.7988 3.7988
```

Calculated values
- space-group type = F-43m (216)

## B
Density functional theory data (PBE) for CsTlPt after structural relaxation.

Geometry as extended XYZ:
```
3
Lattice="0.0000 3.8868 3.8868 3.8868 0.0000 3.8868 3.8868 3.8868 0.0000" Properties=species:S:1:pos:R:3 pbc="T T T"
Cs 0.0000 0.0000 0.0000
Tl 1.9434 1.9434 1.9434
Pt 5.8302 5.8302 5.8302
```

Calculated values
- space-group type = F-43m (216)

A ends up most stable, edging out the next structure by 0.306 eV/atom.